(1)
A plane-wave DFT calculation with PBE was carried out for a geometry-optimized SrLiCaCd structure.

a b c (Å): 5.6473 5.6473 5.6473
angles (deg): 60.00 60.00 60.00
Fractional coordinates of all 4 atoms:
1 Sr 0.7500 0.7500 0.7500
2 Ca 0.2500 0.2500 0.2500
3 Li 0.5000 0.5000 0.5000
4 Cd 0.0000 0.0000 0.0000

- Theoretical density: 3.2 g cm⁻³
- M_tot: 0.00 μB per formula unit
- DFT total energy: -1.7974 eV per atom
- Formation energy from the elements: -0.677 eV/f.u.

***

(2)
A plane-wave DFT calculation with PBE was carried out for a geometry-optimized SrLiCa2Cd structure.

a b c (Å): 5.7884 5.7884 5.2199
angles (deg): 90.00 90.00 90.00
Fractional coordinates of all 5 atoms:
1 Sr 0.5000 0.5000 0.5000
2 Ca 0.0000 0.5000 0.0000
3 Ca 0.5000 0.0000 0.0000
4 Li 0.0000 0.0000 0.0000
5 Cd 0.0000 0.0000 0.5000

- Theoretical density: 2.7 g cm⁻³
- M_tot: 0.00 μB per formula unit
- DFT total energy: -1.6486 eV per atom
- Formation energy from the elements: 0.271 eV/f.u.
- Excess energy over the best structure of this formula in the dataset: 126 meV per atom

***

(3)
A plane-wave DFT calculation with PBE was carried out for a geometry-optimized Sr2Li2CaCd5 structure.

a b c (Å): 4.1676 11.2951 11.2951
angles (deg): 90.00 90.00 90.00
Fractional coordinates of all 20 atoms:
1 Sr 0.0000 0.6828 0.1828
2 Sr 0.0000 0.3172 0.8172
3 Sr 0.0000 0.1828 0.3172
4 Sr 0.0000 0.8172 0.6828
5 Li 0.0000 0.1139 0.6139
6 Li 0.0000 0.8861 0.3861
7 Li 0.0000 0.6139 0.8861
8 Li 0.0000 0.3861 0.1139
9 Ca 0.0000 0.0000 0.0000
10 Ca 0.0000 0.5000 0.5000
11 Cd 0.5000 0.2183 0.0572
12 Cd 0.5000 0.7817 0.9428
13 Cd 0.5000 0.0572 0.7817
14 Cd 0.5000 0.7183 0.4428
15 Cd 0.5000 0.9428 0.2183
16 Cd 0.5000 0.2817 0.5572
17 Cd 0.5000 0.5572 0.7183
18 Cd 0.5000 0.4428 0.2817
19 Cd 0.5000 0.5000 0.0000
20 Cd 0.5000 0.0000 0.5000

- Theoretical density: 4.9 g cm⁻³
- M_tot: 0.00 μB per formula unit
- DFT total energy: -1.6667 eV per atom
- Formation energy from the elements: -2.899 eV/f.u.

***

(4)
A plane-wave DFT calculation with PBE was carried out for a geometry-optimized SrLiCa2Cd structure.

a b c (Å): 6.0967 6.0967 5.2747
angles (deg): 90.00 90.00 90.00
Fractional coordinates of all 5 atoms:
1 Sr 0.5000 0.5000 0.5000
2 Ca 0.0000 0.5000 0.0000
3 Ca 0.5000 0.0000 0.0000
4 Li 0.0000 0.0000 0.5000
5 Cd 0.0000 0.0000 0.0000

- Theoretical density: 2.4 g cm⁻³
- M_tot: 0.00 μB per formula unit
- DFT total energy: -1.6760 eV per atom
- Formation energy from the elements: 0.134 eV/f.u.
- Excess energy over the best structure of this formula in the dataset: 99 meV per atom

***

(5)
A plane-wave DFT calculation with PBE was carried out for a geometry-optimized SrLiCaCd2 structure.

a b c (Å): 5.2758 5.2758 5.1974
angles (deg): 90.00 90.00 90.00
Fractional coordinates of all 5 atoms:
1 Sr 0.5000 0.5000 0.5000
2 Ca 0.0000 0.0000 0.5000
3 Li 0.0000 0.0000 0.0000
4 Cd 0.0000 0.5000 0.0000
5 Cd 0.5000 0.0000 0.0000

- Theoretical density: 4.1 g cm⁻³
- M_tot: 0.00 μB per formula unit
- DFT total energy: -1.5516 eV per atom
- Formation energy from the elements: -0.331 eV/f.u.

***

(6)
A plane-wave DFT calculation with PBE was carried out for a geometry-optimized LiCaTbCd structure.

a b c (Å): 5.3477 5.3477 5.3477
angles (deg): 60.00 60.00 60.00
Fractional coordinates of all 4 atoms:
1 Ca 0.5000 0.5000 0.5000
2 Li 0.7500 0.7500 0.7500
3 Tb 0.0000 0.0000 0.0000
4 Cd 0.2500 0.2500 0.2500

- Theoretical density: 4.9 g cm⁻³
- M_tot: 0.00 μB per formula unit
- DFT total energy: -2.5050 eV per atom
- Formation energy from the elements: -0.559 eV/f.u.

***

(7)
A plane-wave DFT calculation with PBE was carried out for a geometry-optimized LiCaTb2Cd4 structure.

a b c (Å): 5.2255 5.2255 9.0392
angles (deg): 73.20 73.20 60.00
Fractional coordinates of all 8 atoms:
1 Li 0.5000 0.5000 0.5000
2 Ca 0.0000 0.0000 0.0000
3 Tb 0.7509 0.7509 0.7473
4 Tb 0.2491 0.2491 0.2527
5 Cd 0.3805 0.3805 0.8584
6 Cd 0.8729 0.8729 0.3814
7 Cd 0.1271 0.1271 0.6186
8 Cd 0.6195 0.6195 0.1416

- Theoretical density: 6.7 g cm⁻³
- M_tot: 0.00 μB per formula unit
- DFT total energy: -2.3924 eV per atom
- Formation energy from the elements: -2.302 eV/f.u.

***

(8)
A plane-wave DFT calculation with PBE was carried out for a geometry-optimized LiCaTlCd structure.

a b c (Å): 5.1835 5.1835 5.1835
angles (deg): 60.00 60.00 60.00
Fractional coordinates of all 4 atoms:
1 Tl 0.2500 0.2500 0.2500
2 Li 0.0000 0.0000 0.0000
3 Ca 0.5000 0.5000 0.5000
4 Cd 0.7500 0.7500 0.7500

- Theoretical density: 6.1 g cm⁻³
- M_tot: 0.00 μB per formula unit
- DFT total energy: -2.0773 eV per atom
- Formation energy from the elements: -1.113 eV/f.u.

***

(9)
A plane-wave DFT calculation with PBE was carried out for a geometry-optimized LiCa2Tl6Cd structure.

a b c (Å): 9.8608 5.1415 10.5143
angles (deg): 75.48 36.40 91.80
Fractional coordinates of all 10 atoms:
1 Li 0.5000 0.5000 0.0000
2 Ca 0.0403 0.6233 0.7573
3 Ca 0.9597 0.3767 0.2427
4 Tl 0.4807 0.6781 0.6262
5 Tl 0.5472 0.9429 0.1323
6 Tl 0.0514 0.2321 0.5409
7 Tl 0.5193 0.3219 0.3738
8 Tl 0.4528 0.0571 0.8677
9 Tl 0.9486 0.7679 0.4592
10 Cd 0.0000 0.0000 0.0000

- Theoretical density: 8.5 g cm⁻³
- M_tot: 0.00 μB per formula unit
- DFT total energy: -2.2783 eV per atom
- Formation energy from the elements: -1.753 eV/f.u.

***

(10)
A plane-wave DFT calculation with PBE was carried out for a geometry-optimized LiCaTl2Cd structure.

a b c (Å): 5.1350 5.1350 5.0360
angles (deg): 90.00 90.00 90.00
Fractional coordinates of all 5 atoms:
1 Tl 0.0000 0.5000 0.0000
2 Tl 0.5000 0.0000 0.0000
3 Li 0.0000 0.0000 0.0000
4 Ca 0.5000 0.5000 0.5000
5 Cd 0.0000 0.0000 0.5000

- Theoretical density: 7.1 g cm⁻³
- M_tot: 0.00 μB per formula unit
- DFT total energy: -2.0136 eV per atom
- Formation energy from the elements: -0.505 eV/f.u.
- Excess energy over the best structure of this formula in the dataset: 101 meV per atom